1.
# Sr2YCu2O6 | Alexandria via LeMat-Bulk | PBE | optimized geometry
# - Calculated total energy: -6.22 eV/atom
# - ΔE_f (raw): -1.874 eV per atom
# - D(E_F): 0.3783 states/eV per atom
data_Sr2YCu2O6
_cell_length_a 5.9323
_cell_length_b 5.9323
_cell_length_c 17.4528
_cell_angle_alpha 90.00
_cell_angle_beta 90.00
_cell_angle_gamma 120.00
_space_group_name_H-M_alt 'R -3 m'
_space_group_IT_number 166
_space_group_name_Hall '-R 3 2"'
loop_
_atom_site_label
_atom_site_fract_x
_atom_site_fract_y
_atom_site_fract_z
_atom_site_occupancy
Sr1 0.0000 0.0000 0.2040 1
Y1 0.0000 0.0000 0.0000 1
Cu1 0.0000 0.0000 0.4219 1
O1 0.0202 0.5101 0.7572 1


2.
# SrY2CuO5 | Alexandria via LeMat-Bulk | PBE | optimized geometry
# - Calculated total energy: -7.44 eV/atom
# - ΔE_f (raw): -2.603 eV per atom
# - D(E_F): 0.6119 states/eV per atom
data_SrY2CuO5
_cell_length_a 6.490
_cell_length_b 6.490
_cell_length_c 11.433
_cell_angle_alpha 90.00
_cell_angle_beta 90.00
_cell_angle_gamma 90.00
_space_group_name_H-M_alt 'I 4/m c m'
_space_group_IT_number 140
_space_group_name_Hall '-I 4 2c'
loop_
_atom_site_label
_atom_site_fract_x
_atom_site_fract_y
_atom_site_fract_z
_atom_site_occupancy
Sr1 0.000 0.000 0.250 1
Y1 0.172 0.328 0.000 1
Cu1 0.000 0.500 0.250 1
O1 0.000 0.000 0.000 1
O2 0.146 0.354 0.373 1


3.
# Sr3YCu2O6 | Alexandria via LeMat-Bulk | PBE | optimized geometry
# - Calculated total energy: -6.10 eV/atom
# - ΔE_f (raw): -1.977 eV per atom
# - D(E_F): 0.7009 states/eV per atom
data_Sr3YCu2O6
_cell_length_a 6.0688
_cell_length_b 6.0688
_cell_length_c 6.4656
_cell_angle_alpha 90.00
_cell_angle_beta 90.00
_cell_angle_gamma 120.00
_space_group_name_H-M_alt 'P -3 m 1'
_space_group_IT_number 164
_space_group_name_Hall '-P 3 2"'
loop_
_atom_site_label
_atom_site_fract_x
_atom_site_fract_y
_atom_site_fract_z
_atom_site_occupancy
Sr1 0.0000 0.0000 0.0000 1
Sr2 0.3333 0.6667 0.6303 1
Y1 0.0000 0.0000 0.5000 1
Cu1 0.3333 0.6667 0.1755 1
O1 0.1669 0.3338 0.2907 1


4.
# Sr9Zn2Cu2O14 | Alexandria via LeMat-Bulk | PBE | optimized geometry
# - Calculated total energy: -5.51 eV/atom
# - ΔE_f (raw): -1.985 eV per atom
# - D(E_F): 0.6237 states/eV per atom
data_Sr9Zn2Cu2O14
_cell_length_a 22.581
_cell_length_b 3.652
_cell_length_c 11.248
_cell_angle_alpha 90.00
_cell_angle_beta 101.87
_cell_angle_gamma 90.00
_space_group_name_H-M_alt 'C 1 m 1'
_space_group_IT_number 8
_space_group_name_Hall 'C -2y'
loop_
_atom_site_label
_atom_site_fract_x
_atom_site_fract_y
_atom_site_fract_z
_atom_site_occupancy
Sr1 0.000 0.000 0.000 1
Sr2 0.001 0.000 0.665 1
Sr3 0.111 0.500 0.520 1
Sr4 0.121 0.500 0.880 1
Sr5 0.130 0.500 0.232 1
Sr6 0.287 0.500 0.308 1
Sr7 0.300 0.500 0.617 1
Sr8 0.333 0.500 0.966 1
Sr9 0.481 0.500 0.299 1
Zn1 0.206 0.000 0.065 1
Zn2 0.420 0.000 0.800 1
Cu1 0.203 0.000 0.738 1
Cu2 0.408 0.000 0.479 1
O1 0.011 0.500 0.164 1
O2 0.012 0.500 0.819 1
O3 0.092 0.000 0.369 1
O4 0.113 0.000 0.025 1
O5 0.120 0.000 0.700 1
O6 0.206 0.500 0.449 1
O7 0.216 0.000 0.239 1
O8 0.229 0.500 0.013 1
O9 0.283 0.000 0.770 1
O10 0.329 0.000 0.476 1
O11 0.372 0.500 0.196 1
O12 0.403 0.500 0.735 1
O13 0.410 0.000 0.969 1
O14 0.489 0.000 0.490 1


5.
# Sr9Zn4Cu2O14 | Alexandria via LeMat-Bulk | PBE | optimized geometry
# - Calculated total energy: -5.53 eV/atom
# - ΔE_f (raw): -2.157 eV per atom
# - D(E_F): 0.0000 states/eV per atom
data_Sr9Zn4Cu2O14
_cell_length_a 22.400
_cell_length_b 3.645
_cell_length_c 11.445
_cell_angle_alpha 90.00
_cell_angle_beta 98.47
_cell_angle_gamma 90.00
_space_group_name_H-M_alt 'C 1 2/m 1'
_space_group_IT_number 12
_space_group_name_Hall '-C 2y'
loop_
_atom_site_label
_atom_site_fract_x
_atom_site_fract_y
_atom_site_fract_z
_atom_site_occupancy
Sr1 0.000 0.000 0.000 1
Sr2 0.008 0.000 0.306 1
Sr3 0.186 0.000 0.725 1
Sr4 0.187 0.000 0.399 1
Sr5 0.193 0.000 0.071 1
Zn1 0.102 0.500 0.539 1
Zn2 0.111 0.500 0.204 1
Cu1 0.107 0.500 0.878 1
O1 0.026 0.500 0.852 1
O2 0.082 0.000 0.595 1
O3 0.086 0.500 0.365 1
O4 0.094 0.000 0.142 1
O5 0.191 0.500 0.902 1
O6 0.197 0.500 0.570 1
O7 0.203 0.500 0.233 1


6.
# Sr2ZnCuO5 | Alexandria via LeMat-Bulk | PBE | optimized geometry
# - Calculated total energy: -5.31 eV/atom
# - ΔE_f (raw): -1.589 eV per atom
# - D(E_F): 0.4120 states/eV per atom
data_Sr2ZnCuO5
_cell_length_a 3.359
_cell_length_b 14.092
_cell_length_c 10.346
_cell_angle_alpha 90.00
_cell_angle_beta 90.00
_cell_angle_gamma 90.00
_space_group_name_H-M_alt 'C m c 21'
_space_group_IT_number 36
_space_group_name_Hall 'C 2c -2'
loop_
_atom_site_label
_atom_site_fract_x
_atom_site_fract_y
_atom_site_fract_z
_atom_site_occupancy
Sr1 0.000 0.100 0.000 1
Sr2 0.000 0.133 0.631 1
Zn1 0.000 0.439 0.782 1
Cu1 0.000 0.221 0.353 1
O1 0.000 0.082 0.380 1
O2 0.000 0.272 0.979 1
O3 0.000 0.296 0.732 1
O4 0.000 0.354 0.327 1
O5 0.000 0.499 0.617 1


7.
# SrZr2CuO | Alexandria via LeMat-Bulk | PBE | optimized geometry
# - Calculated total energy: -6.08 eV/atom
# - ΔE_f (raw): -0.512 eV per atom
# - D(E_F): 0.7109 states/eV per atom
data_SrZr2CuO
_cell_length_a 4.341
_cell_length_b 4.341
_cell_length_c 6.001
_cell_angle_alpha 90.00
_cell_angle_beta 90.00
_cell_angle_gamma 90.00
_space_group_name_H-M_alt 'P 4/m m m'
_space_group_IT_number 123
_space_group_name_Hall '-P 4 2'
loop_
_atom_site_label
_atom_site_fract_x
_atom_site_fract_y
_atom_site_fract_z
_atom_site_occupancy
Sr1 0.000 0.000 0.000 1
Zr1 0.000 0.500 0.500 1
Cu1 0.500 0.500 0.000 1
O1 0.500 0.500 0.500 1


8.
# TaCuO2 | Alexandria via LeMat-Bulk | PBE | optimized geometry
# - Calculated total energy: -7.97 eV/atom
# - ΔE_f (raw): -1.500 eV per atom
# - D(E_F): 0.3406 states/eV per atom
data_TaCuO2
_cell_length_a 2.8713
_cell_length_b 2.8713
_cell_length_c 19.4069
_cell_angle_alpha 90.00
_cell_angle_beta 90.00
_cell_angle_gamma 120.00
_space_group_name_H-M_alt 'R -3 m'
_space_group_IT_number 166
_space_group_name_Hall '-R 3 2"'
loop_
_atom_site_label
_atom_site_fract_x
_atom_site_fract_y
_atom_site_fract_z
_atom_site_occupancy
Ta1 0.0000 0.0000 0.0000 1
Cu1 0.0000 0.0000 0.5000 1
O1 0.0000 0.0000 0.4032 1


9.
# TaCu2O | Alexandria via LeMat-Bulk | PBE | optimized geometry
# - Calculated total energy: -6.49 eV/atom
# - ΔE_f (raw): -0.240 eV per atom
# - D(E_F): 0.7024 states/eV per atom
data_TaCu2O
_cell_length_a 7.031
_cell_length_b 7.031
_cell_length_c 4.175
_cell_angle_alpha 90.00
_cell_angle_beta 90.00
_cell_angle_gamma 90.00
_space_group_name_H-M_alt 'I -4 2 d'
_space_group_IT_number 122
_space_group_name_Hall 'I -4 2bw'
loop_
_atom_site_label
_atom_site_fract_x
_atom_site_fract_y
_atom_site_fract_z
_atom_site_occupancy
Ta1 0.000 0.000 0.000 1
Cu1 0.185 0.750 0.625 1
O1 0.000 0.000 0.500 1


10.
# TaCuO3 | Alexandria via LeMat-Bulk | PBE | optimized geometry
# - Calculated total energy: -8.25 eV/atom
# - ΔE_f (raw): -2.089 eV per atom
data_TaCuO3
_cell_length_a 9.655
_cell_length_b 8.659
_cell_length_c 6.881
_cell_angle_alpha 90.00
_cell_angle_beta 91.18
_cell_angle_gamma 90.00
_space_group_name_H-M_alt 'C 1 2/m 1'
_space_group_IT_number 12
_space_group_name_Hall '-C 2y'
loop_
_atom_site_label
_atom_site_fract_x
_atom_site_fract_y
_atom_site_fract_z
_atom_site_occupancy
Ta1 0.000 0.200 0.000 1
Ta2 0.249 0.000 0.778 1
Cu1 0.000 0.153 0.500 1
Cu2 0.215 0.000 0.301 1
O1 0.092 0.163 0.745 1
O2 0.129 0.000 0.058 1
O3 0.132 0.339 0.106 1
O4 0.190 0.500 0.471 1


11.
# TaCuO2 | Alexandria via LeMat-Bulk | PBE | optimized geometry
# - Calculated total energy: -7.59 eV/atom
# - ΔE_f (raw): -1.120 eV per atom
# - D(E_F): 0.7238 states/eV per atom
data_TaCuO2
_cell_length_a 4.106
_cell_length_b 4.106
_cell_length_c 12.164
_cell_angle_alpha 90.00
_cell_angle_beta 90.00
_cell_angle_gamma 90.00
_space_group_name_H-M_alt 'I -4 2 d'
_space_group_IT_number 122
_space_group_name_Hall 'I -4 2bw'
loop_
_atom_site_label
_atom_site_fract_x
_atom_site_fract_y
_atom_site_fract_z
_atom_site_occupancy
Ta1 0.000 0.000 0.000 1
Cu1 0.000 0.000 0.500 1
O1 0.194 0.250 0.125 1


12.
# Ta2CuO4 | Alexandria via LeMat-Bulk | PBE | optimized geometry
# - Calculated total energy: -7.56 eV/atom
# - ΔE_f (raw): -0.750 eV per atom
# - D(E_F): 0.9026 states/eV per atom
data_Ta2CuO4
_cell_length_a 3.832
_cell_length_b 3.832
_cell_length_c 11.715
_cell_angle_alpha 90.00
_cell_angle_beta 90.00
_cell_angle_gamma 90.00
_space_group_name_H-M_alt 'I 4/m m m'
_space_group_IT_number 139
_space_group_name_Hall '-I 4 2'
loop_
_atom_site_label
_atom_site_fract_x
_atom_site_fract_y
_atom_site_fract_z
_atom_site_occupancy
Ta1 0.000 0.000 0.130 1
Cu1 0.000 0.000 0.500 1
O1 0.000 0.000 0.286 1
O2 0.000 0.500 0.000 1


- The highest ΔE_f (raw) belongs to which entry?
  TaCu2O